No. 1
HgPbCl4 | GGA-PBE | relaxed

Cell lengths 4.1573, 6.3760, 7.2892 Å; angles 92.67, 90.00, 90.00 degrees
Sites, in units of the cell vectors:
1 Cl 0.5000 0.2264 0.8588
2 Cl 0.0000 0.2384 0.3209
3 Cl 0.5000 0.7736 0.1412
4 Cl 0.0000 0.7616 0.6791
5 Hg 0.0000 0.0000 0.0000
6 Pb 0.5000 0.0000 0.5000

Summary:
energy above the lowest structure with this stoichiometry = 0.0237 eV/atom
spin magnetization = 0.000 μB per atom
raw total energy = -0.1005 hartree per atom

---

No. 2
LiLa2Nb | GGA-PBE | relaxed

Cell lengths 3.2187, 3.2187, 12.0902 Å; angles 82.35, 82.35, 60.00 degrees
Sites, in units of the cell vectors:
1 Nb 0.0000 0.0000 0.0000
2 La 0.9195 0.9195 0.2415
3 La 0.0805 0.0805 0.7585
4 Li 0.5000 0.5000 0.5000

Summary:
energy above the lowest structure with this stoichiometry = 0.0000 eV/atom
spin magnetization = 0.000 μB per atom
raw total energy = -0.1807 hartree per atom
energy of formation = 0.54 eV/atom

---

No. 3
SmPu2I6 | GGA-PBE | relaxed

Cell lengths 4.2946, 8.9564, 10.8778 Å; angles 110.53, 90.00, 103.87 degrees
Site moments in Bohr magnetons follow the coordinates.
Sites, in units of the cell vectors:
1 I 0.3053 0.6106 0.8623  -0.05
2 I 0.6947 0.3894 0.1377  -0.05
3 I 0.9743 0.9486 0.1987  -0.03
4 I 0.6384 0.2769 0.5276  -0.01
5 I 0.3616 0.7231 0.4724  -0.01
6 I 0.0257 0.0514 0.8013  -0.03
7 Pu 0.6662 0.3325 0.8337  5.71
8 Pu 0.3337 0.6675 0.1663  5.71
9 Sm 0.0000 0.0000 0.5000  0.32

Summary:
spin magnetization = 1.425 μB per atom
raw total energy = -0.2158 hartree per atom

---

No. 4
NbIn2Ag | GGA-PBE | relaxed

Cell lengths 4.8744, 4.8744, 4.8744 Å; angles 60.00, 60.00, 60.00 degrees
Site moments in Bohr magnetons follow the coordinates.
Sites, in units of the cell vectors:
1 Nb 0.0000 0.0000 0.0000  1.34
2 Ag 0.5000 0.5000 0.5000  -0.01
3 In 0.2500 0.2500 0.2500  0.00
4 In 0.7500 0.7500 0.7500  0.00

Summary:
energy above the lowest structure with this stoichiometry = 0.2551 eV/atom
spin magnetization = 0.395 μB per atom
raw total energy = -0.1579 hartree per atom
energy of formation = 0.30 eV/atom

---

No. 5
CeEuTc | GGA-PBE | relaxed

Cell lengths 3.4853, 3.4853, 6.8861 Å; angles 104.66, 104.66, 90.00 degrees
Site moments in Bohr magnetons follow the coordinates.
Sites, in units of the cell vectors:
1 Tc 0.3142 0.3142 0.6285  -0.17
2 Eu 0.9757 0.9757 0.9514  6.88
3 Ce 0.7100 0.7100 0.4201  0.28

Summary:
spin magnetization = 2.503 μB per atom
raw total energy = -0.3213 hartree per atom
energy of formation = 0.12 eV/atom

---

No. 6
KHgAs | GGA-PBE | relaxed

Cell lengths 7.8076, 7.8067, 3.2670 Å; angles 77.94, 77.91, 24.15 degrees
Sites, in units of the cell vectors:
1 Hg 0.3403 0.3403 0.6597
2 K 0.6640 0.6640 0.3360
3 As 0.9957 0.9957 0.0043

Summary:
spin magnetization = 0.000 μB per atom
raw total energy = -0.0739 hartree per atom
energy of formation = 0.00 eV/atom

---

No. 7
Tl5P4 | GGA-PBE | relaxed

Cell lengths 7.8011, 7.8011, 7.8011 Å; angles 94.12, 94.12, 148.89 degrees
Sites, in units of the cell vectors:
1 Tl 0.6690 0.3310 0.0000
2 Tl 0.0000 0.0000 0.0000
3 Tl 0.3310 0.3310 0.6621
4 Tl 0.3310 0.6690 0.0000
5 Tl 0.6690 0.6690 0.3379
6 P 0.0000 0.6028 0.6028
7 P 0.6028 0.0000 0.6028
8 P 0.3972 0.0000 0.3972
9 P 0.0000 0.3972 0.3972

Summary:
spin magnetization = 0.000 μB per atom
raw total energy = -0.1266 hartree per atom
energy of formation = 0.27 eV/atom

---

No. 8
Ho4In2C | GGA-PBE | relaxed

Cell lengths 3.5697, 8.8503, 8.4984 Å; angles 137.71, 90.00, 90.00 degrees
Site moments in Bohr magnetons follow the coordinates.
Sites, in units of the cell vectors:
1 In 0.5000 0.3151 0.8120  0.00
2 In 0.5000 0.8277 0.3308  0.00
3 Ho 0.5000 0.2089 0.3502  0.13
4 Ho 0.5000 0.9339 0.7928  0.13
5 Ho 0.0000 0.7040 0.9215  0.20
6 Ho 0.0000 0.4388 0.2214  0.20
7 C 0.0000 0.0714 0.0714  -0.01

Summary:
energy above the lowest structure with this stoichiometry = 0.0885 eV/atom
spin magnetization = 0.125 μB per atom
raw total energy = -0.1839 hartree per atom
energy of formation = -0.29 eV/atom

---

No. 9
VTcB | GGA-PBE | relaxed

Cell lengths 2.9976, 2.9976, 5.7818 Å; angles 105.02, 105.02, 90.00 degrees
Sites, in units of the cell vectors:
1 B 0.2869 0.2869 0.5738
2 V 0.0896 0.0896 0.1792
3 Tc 0.4735 0.4735 0.9470

Summary:
energy above the lowest structure with this stoichiometry = 1.5925 eV/atom
spin magnetization = 0.000 μB per atom
raw total energy = -0.2814 hartree per atom
energy of formation = 1.06 eV/atom

---

No. 10
InIrPb2 | GGA-PBE | relaxed

Cell lengths 5.1367, 5.1367, 5.1367 Å; angles 121.36, 121.36, 87.66 degrees
Sites, in units of the cell vectors:
1 Pb 0.0000 0.0000 0.0000
2 Pb 0.2500 0.7500 0.5000
3 In 0.5000 0.5000 0.0000
4 Ir 0.7500 0.2500 0.5000

Summary:
spin magnetization = 0.000 μB per atom
raw total energy = -0.1590 hartree per atom
energy of formation = 0.43 eV/atom

---

No. 11
NdScAs2 | GGA-PBE | relaxed

Cell lengths 4.0455, 4.0457, 7.0291 Å; angles 90.00, 90.00, 120.00 degrees
Sites, in units of the cell vectors:
1 As 0.6667 0.8334 0.7742
2 As 0.3333 0.1666 0.2258
3 Sc 0.0000 0.5000 0.0000
4 Nd 0.0000 0.5000 0.5000

Summary:
energy above the lowest structure with this stoichiometry = 0.1452 eV/atom
spin magnetization = 0.000 μB per atom
raw total energy = -0.2340 hartree per atom
energy of formation = -1.27 eV/atom

---

No. 12
Ca2SnCl | GGA-PBE | relaxed

Cell lengths 4.2391, 4.2391, 8.0138 Å; angles 74.66, 74.66, 60.00 degrees
Sites, in units of the cell vectors:
1 Ca 0.7497 0.7497 0.7509
2 Ca 0.2503 0.2503 0.2491
3 Sn 0.5000 0.5000 0.5000
4 Cl 0.0000 0.0000 0.0000

Summary:
energy above the lowest structure with this stoichiometry = 0.0000 eV/atom
spin magnetization = 0.000 μB per atom
raw total energy = -0.1316 hartree per atom

---

> spin magnetization of number 12 (Ca2SnCl)?

0.000 μB per atom